# SiPRh2

An optimized crystal structure of SiPRh2 (PBE, Alexandria).

Calculated values
Magnetic moment = 0.0 μB/f.u.
E_form (uncorrected) = -0.294 eV per atom

CIF file:
```
data_SiPRh2
_cell_length_a 7.593
_cell_length_b 7.593
_cell_length_c 7.593
_cell_angle_alpha 22.56
_cell_angle_beta 22.56
_cell_angle_gamma 22.56
_symmetry_space_group_name_H-M 'P 1'
_symmetry_Int_Tables_number 1
loop_
_symmetry_equiv_pos_as_xyz
'x,y,z'
loop_
_atom_site_label
_atom_site_fract_x
_atom_site_fract_y
_atom_site_fract_z
_atom_site_occupancy
Si1 0.000 0.000 0.000 1
P1 0.252 0.252 0.252 1
Rh1 0.514 0.514 0.514 1
Rh2 0.741 0.741 0.741 1
```